VASP calculation (PBE) on a geometry-optimized MgAg4Sb structure. Values from VASP.

Geometry as Quantum ESPRESSO input:
```
&SYSTEM
  ibrav = 0, nat = 12, ntyp = 3
/
ATOMIC_SPECIES
Mg 24.30 Mg.upf
Ag 107.87 Ag.upf
Sb 121.76 Sb.upf
ATOMIC_POSITIONS angstrom
Mg 0.0000 0.0000 0.0000
Mg 2.5913 4.5981 0.0000
Ag -0.7337 1.5249 2.4528
Ag 0.0000 2.9958 0.0000
Ag 0.0000 6.2004 0.0000
Ag -0.7337 7.6713 2.4528
Ag 2.5913 1.6023 0.0000
Ag 1.8576 3.0732 2.4528
Ag 1.8576 6.1230 2.4528
Ag 2.5913 7.5939 0.0000
Sb -0.7337 4.5981 2.4528
Sb 1.8576 0.0000 2.4528
CELL_PARAMETERS angstrom
5.1826 0.0000 0.0000
0.0000 9.1962 0.0000
-1.4674 0.0000 4.9057
```

Output
For the energy above the most stable polymorph in this dataset, the calculation gives 0.000 eV/atom. As for the uncorrected formation energy: -0.36 eV per formula unit.


VASP calculation (PBE) on a geometry-optimized LaDy3Tl4 structure. Values from VASP.

Geometry as Quantum ESPRESSO input:
```
&SYSTEM
  ibrav = 0, nat = 16, ntyp = 3
/
ATOMIC_SPECIES
La 138.91 La.upf
Dy 162.50 Dy.upf
Tl 204.38 Tl.upf
ATOMIC_POSITIONS angstrom
La 0.0000 0.0000 0.0000
La 5.4473 0.0000 0.0000
Dy 0.0000 3.8309 0.0000
Dy 2.7236 0.0000 2.7193
Dy 2.7236 3.8309 2.7195
Dy 5.4473 3.8309 0.0000
Dy 8.1709 0.0000 2.7268
Dy 8.1709 3.8309 2.7266
Tl 0.0000 1.9929 2.7231
Tl 0.0000 5.6689 2.7231
Tl 2.7236 1.9932 5.4408
Tl 2.7236 5.6687 5.4408
Tl 5.4473 1.9929 2.7231
Tl 5.4473 5.6689 2.7231
Tl 8.1709 1.9932 0.0053
Tl 8.1709 5.6687 0.0053
CELL_PARAMETERS angstrom
10.8945 0.0000 0.0000
0.0000 7.6619 0.0000
0.0000 0.0000 5.4462
```

Output
The formation energy is -0.357 eV/atom.


VASP calculation (PBE) on a geometry-optimized Mg2TiIn4 structure. Values from VASP.

Geometry as Quantum ESPRESSO input:
```
&SYSTEM
  ibrav = 0, nat = 14, ntyp = 3
/
ATOMIC_SPECIES
Mg 24.30 Mg.upf
Ti 47.87 Ti.upf
In 114.82 In.upf
ATOMIC_POSITIONS angstrom
Mg 0.0000 3.1679 0.0000
Mg 0.0000 3.1679 4.0401
Mg 3.1679 0.0000 0.0000
Mg 3.1679 0.0000 4.0401
Ti 0.0000 0.0000 0.0000
Ti 3.1679 3.1679 4.0401
In 1.5839 1.5839 2.0200
In 1.5839 1.5839 6.0601
In 1.5839 4.7518 2.0200
In 1.5839 4.7518 6.0601
In 4.7518 1.5839 2.0200
In 4.7518 1.5839 6.0601
In 4.7518 4.7518 2.0200
In 4.7518 4.7518 6.0601
CELL_PARAMETERS angstrom
6.3358 0.0000 0.0000
0.0000 6.3358 0.0000
0.0000 0.0000 8.0801
```

Output
The formation energy is -0.098 eV/atom.


VASP calculation (PBE) on a geometry-optimized ZrSiPt structure. Values from VASP.

Geometry as Quantum ESPRESSO input:
```
&SYSTEM
  ibrav = 0, nat = 12, ntyp = 3
/
ATOMIC_SPECIES
Zr 91.22 Zr.upf
Si 28.09 Si.upf
Pt 195.08 Pt.upf
ATOMIC_POSITIONS angstrom
Zr 0.1645 0.9819 1.3523
Zr 3.1620 2.9456 5.1603
Zr 3.4911 0.9819 2.4556
Zr 6.4886 2.9456 6.2636
Si 1.5732 2.9456 2.8775
Si 1.7533 0.9819 6.6854
Si 4.8998 2.9456 0.9305
Si 5.0799 0.9819 4.7384
Pt 0.9699 0.9819 4.2956
Pt 2.3567 2.9456 0.4877
Pt 4.2964 0.9819 7.1282
Pt 5.6832 2.9456 3.3203
CELL_PARAMETERS angstrom
6.6531 0.0000 0.0000
0.0000 3.9274 0.0000
0.0000 0.0000 7.6159
```

Output
As for the uncorrected formation energy: -3.50 eV per formula unit.


VASP calculation (PBE) on a geometry-optimized TbSm2Ho6Er3 structure. Values from VASP.

Geometry as Quantum ESPRESSO input:
```
&SYSTEM
  ibrav = 0, nat = 12, ntyp = 4
/
ATOMIC_SPECIES
Tb 158.93 Tb.upf
Sm 150.36 Sm.upf
Ho 164.93 Ho.upf
Er 167.26 Er.upf
ATOMIC_POSITIONS angstrom
Tb 0.0000 0.0000 0.0000
Sm 3.0662 1.7684 0.0000
Sm 3.0662 -1.7684 0.0000
Ho 1.0288 1.7665 2.9160
Ho -0.0007 0.0000 8.6239
Ho 1.0288 -1.7665 2.9160
Ho 3.0689 1.7665 8.6248
Ho 4.0984 0.0000 2.9169
Ho 3.0689 -1.7665 8.6248
Er 2.0489 3.5384 5.7704
Er 2.0489 0.0000 5.7704
Er 2.0489 -3.5384 5.7704
CELL_PARAMETERS angstrom
3.0662 -5.3045 0.0000
3.0662 5.3045 0.0000
-2.0348 0.0000 11.5407
```

Output
The formation energy is 0.019 eV/atom.


VASP calculation (PBE) on a geometry-optimized NiAs4P structure. Values from VASP.

Geometry as Quantum ESPRESSO input:
```
&SYSTEM
  ibrav = 0, nat = 6, ntyp = 3
/
ATOMIC_SPECIES
Ni 58.69 Ni.upf
As 74.92 As.upf
P 30.97 P.upf
ATOMIC_POSITIONS angstrom
Ni 0.0000 0.0000 0.0000
As 4.7812 2.8682 2.8682
As 2.8682 4.7812 2.8682
As 2.8682 2.8682 4.7812
As 4.7812 4.7812 4.7812
P 1.9123 1.9123 1.9123
CELL_PARAMETERS angstrom
0.0000 3.8247 3.8247
3.8247 0.0000 3.8247
3.8247 3.8247 0.0000
```

Output
The formation energy is 0.853 eV/atom.


VASP calculation (PBE) on a geometry-optimized Sr2SbMo structure. Values from VASP.

Geometry as Quantum ESPRESSO input:
```
&SYSTEM
  ibrav = 0, nat = 4, ntyp = 3
/
ATOMIC_SPECIES
Sr 87.62 Sr.upf
Sb 121.76 Sb.upf
Mo 95.94 Mo.upf
ATOMIC_POSITIONS angstrom
Sr 0.0000 0.0000 0.0000
Sr 1.8477 1.8477 3.6328
Sb 1.8477 1.8477 6.9387
Mo 0.0000 0.0000 5.8851
CELL_PARAMETERS angstrom
3.6954 0.0000 0.0000
0.0000 3.6954 0.0000
0.0000 0.0000 9.1806
```

Output
As for the uncorrected formation energy: 0.40 eV per formula unit.


VASP calculation (PBE) on a geometry-optimized Zn3SbO3 structure. Values from VASP.

Geometry as Quantum ESPRESSO input:
```
&SYSTEM
  ibrav = 0, nat = 14, ntyp = 3
/
ATOMIC_SPECIES
Zn 65.41 Zn.upf
Sb 121.76 Sb.upf
O 16.00 O.upf
ATOMIC_POSITIONS angstrom
Zn 0.0000 1.4568 2.9137
Zn 0.0000 4.3705 2.9137
Zn 1.4568 2.9137 0.0000
Zn 2.9137 0.0000 1.4568
Zn 2.9137 0.0000 4.3705
Zn 4.3705 2.9137 0.0000
Sb 0.0000 0.0000 0.0000
Sb 2.9137 2.9137 2.9137
O 0.0000 2.9137 1.4568
O 0.0000 2.9137 4.3705
O 1.4568 0.0000 2.9137
O 2.9137 1.4568 0.0000
O 2.9137 4.3705 0.0000
O 4.3705 0.0000 2.9137
CELL_PARAMETERS angstrom
5.8274 0.0000 0.0000
0.0000 5.8274 0.0000
0.0000 0.0000 5.8274
```

Output
As for the uncorrected formation energy: -5.23 eV per formula unit.


VASP calculation (PBE) on a geometry-optimized Tc3SbAs structure. Values from VASP.

Geometry as Quantum ESPRESSO input:
```
&SYSTEM
  ibrav = 0, nat = 5, ntyp = 3
/
ATOMIC_SPECIES
Tc 98.00 Tc.upf
Sb 121.76 Sb.upf
As 74.92 As.upf
ATOMIC_POSITIONS angstrom
Tc 0.0000 0.0000 2.2981
Tc 0.0000 2.2981 0.0000
Tc 2.2981 0.0000 0.0000
Sb 2.2981 2.2981 2.2981
As 0.0000 0.0000 0.0000
CELL_PARAMETERS angstrom
4.5961 0.0000 0.0000
0.0000 4.5961 0.0000
0.0000 0.0000 4.5961
```

Output
For the energy above the most stable polymorph in this dataset, the calculation gives 0.000 eV/atom. As for the uncorrected formation energy: 4.80 eV per formula unit.


VASP calculation (PBE) on a geometry-optimized ScMoIr2 structure. Values from VASP.

Geometry as Quantum ESPRESSO input:
```
&SYSTEM
  ibrav = 0, nat = 4, ntyp = 3
/
ATOMIC_SPECIES
Sc 44.96 Sc.upf
Mo 95.94 Mo.upf
Ir 192.22 Ir.upf
ATOMIC_POSITIONS angstrom
Sc 0.0000 0.0000 0.0000
Mo -0.0152 0.0000 2.9248
Ir 1.4344 1.8944 1.5295
Ir 1.4179 1.8944 4.3201
CELL_PARAMETERS angstrom
2.8826 0.0000 0.0000
0.0000 3.7889 0.0000
-0.0303 0.0000 5.8496
```

Output
For the energy above the most stable polymorph in this dataset, the calculation gives 0.087 eV/atom. The formation energy is -0.432 eV/atom.


VASP calculation (PBE) on a geometry-optimized Pm5GeRu2 structure. Values from VASP.

Geometry as Quantum ESPRESSO input:
```
&SYSTEM
  ibrav = 0, nat = 16, ntyp = 3
/
ATOMIC_SPECIES
Pm 145.00 Pm.upf
Ge 72.64 Ge.upf
Ru 101.07 Ru.upf
ATOMIC_POSITIONS angstrom
Pm 0.0000 0.0000 0.0000
Pm 5.1803 1.2767 -1.8819
Pm 1.2767 2.6269 -1.8819
Pm 5.1803 1.2767 1.8819
Pm 1.2767 2.6269 1.8819
Pm 0.0000 0.0000 6.7550
Pm 2.6269 1.2767 4.8731
Pm -1.2767 2.6269 4.8731
Pm 2.6269 1.2767 8.6369
Pm -1.2767 2.6269 8.6369
Ge 0.0000 0.0000 3.3775
Ge 0.0000 0.0000 10.1325
Ru 2.8401 1.0635 0.0000
Ru 2.8401 -1.0635 6.7550
Ru 1.0635 4.9671 0.0000
Ru 1.0635 2.8401 6.7550
CELL_PARAMETERS angstrom
-3.9036 3.9036 6.7550
3.9036 -3.9036 6.7550
3.9036 3.9036 -6.7550
```

Output
The formation energy is -0.388 eV/atom.


VASP calculation (PBE) on a geometry-optimized Li5B8C8 structure. Values from VASP.

Geometry as Quantum ESPRESSO input:
```
&SYSTEM
  ibrav = 0, nat = 21, ntyp = 3
/
ATOMIC_SPECIES
Li 6.94 Li.upf
B 10.81 B.upf
C 12.01 C.upf
ATOMIC_POSITIONS angstrom
Li 0.0000 0.0000 0.0000
Li 0.0069 1.3635 6.7779
Li 0.1156 0.0000 4.2072
Li 3.6459 0.0000 8.8743
Li 3.7809 1.3635 2.2295
B 1.7520 1.3635 8.3438
B 1.7739 0.0000 6.0008
B 1.9419 0.0000 1.3565
B 1.9874 1.3635 3.6842
B 5.4404 1.3635 0.4848
B 5.5734 0.0000 7.4713
B 5.6436 0.0000 2.8038
B 5.6811 1.3635 5.1395
C 1.6879 0.0000 7.5878
C 1.7738 1.3635 5.2519
C 1.9005 1.3635 0.5822
C 2.0388 0.0000 2.9296
C 5.4269 0.0000 1.2371
C 5.5195 1.3635 8.2435
C 5.7128 1.3635 3.5558
C 5.7212 0.0000 5.8977
CELL_PARAMETERS angstrom
7.3647 0.0000 0.0000
0.0000 2.7270 0.0000
-0.0175 0.0000 9.3414
```

Output
For the energy above the most stable polymorph in this dataset, the calculation gives 0.011 eV/atom. The formation energy is -0.134 eV/atom.


VASP calculation (PBE) on a geometry-optimized NaDy4BiS8 structure. Values from VASP.

Geometry as Quantum ESPRESSO input:
```
&SYSTEM
  ibrav = 0, nat = 14, ntyp = 4
/
ATOMIC_SPECIES
Na 22.99 Na.upf
Dy 162.50 Dy.upf
Bi 208.98 Bi.upf
S 32.06 S.upf
ATOMIC_POSITIONS angstrom
Na 0.0000 0.0000 0.0000
Dy 0.0000 -2.4021 10.8227
Dy -2.0802 1.2010 10.8227
Dy 0.0000 0.0000 15.0023
Dy 2.0802 1.2010 10.8227
Bi 0.0000 0.0000 7.2698
S 0.0000 -2.1660 5.6665
S -1.8758 1.0830 5.6665
S 0.0000 0.0000 2.6917
S -1.9464 -1.1238 9.2621
S 1.8758 1.0830 5.6665
S 0.0000 0.0000 12.3315
S 1.9464 -1.1237 9.2621
S 0.0000 2.2475 9.2621
CELL_PARAMETERS angstrom
4.0575 2.3426 6.7114
-4.0575 2.3426 6.7114
0.0000 -4.6852 6.7114
```

Output
As for the uncorrected formation energy: -23.24 eV per formula unit.


VASP calculation (PBE) on a geometry-optimized K2UTaO6 structure. Values from VASP.

Geometry as Quantum ESPRESSO input:
```
&SYSTEM
  ibrav = 0, nat = 10, ntyp = 4
/
ATOMIC_SPECIES
K 39.10 K.upf
U 238.03 U.upf
Ta 180.95 Ta.upf
O 16.00 O.upf
ATOMIC_POSITIONS angstrom
K 2.0920 2.0920 2.0920
K 6.2760 6.2760 6.2760
U 0.0000 0.0000 0.0000
Ta 4.1840 4.1840 4.1840
O 4.1840 4.1840 2.1698
O 4.1840 2.1698 4.1840
O 6.1982 4.1840 4.1840
O 2.1698 4.1840 4.1840
O 4.1840 6.1982 4.1840
O 4.1840 4.1840 6.1982
CELL_PARAMETERS angstrom
0.0000 4.1840 4.1840
4.1840 0.0000 4.1840
4.1840 4.1840 0.0000
```

Output
As for the uncorrected formation energy: -27.80 eV per formula unit.


VASP calculation (PBE) on a geometry-optimized GaSeCl2 structure. Values from VASP.

Geometry as Quantum ESPRESSO input:
```
&SYSTEM
  ibrav = 0, nat = 12, ntyp = 3
/
ATOMIC_SPECIES
Ga 69.72 Ga.upf
Se 78.96 Se.upf
Cl 35.45 Cl.upf
ATOMIC_POSITIONS angstrom
Ga 0.0000 0.0000 0.0000
Ga 0.0000 2.1414 17.7131
Ga 1.8545 1.0707 8.8565
Se 0.0000 0.0000 13.2848
Se 0.0000 2.1414 4.4283
Se 1.8545 1.0707 22.1414
Cl 0.0000 0.0000 10.8574
Cl 0.0000 0.0000 15.7122
Cl 0.0000 2.1414 2.0009
Cl 0.0000 2.1414 6.8557
Cl 1.8545 1.0707 19.7140
Cl 1.8545 1.0707 24.5688
CELL_PARAMETERS angstrom
3.7090 0.0000 0.0000
-1.8545 3.2121 0.0000
0.0000 0.0000 26.5697
```

Output
For the energy above the most stable polymorph in this dataset, the calculation gives 0.000 eV/atom. As for the uncorrected formation energy: -0.73 eV per formula unit.


VASP calculation (PBE) on a geometry-optimized CeTcH6Pt structure. Values from VASP.

Geometry as Quantum ESPRESSO input:
```
&SYSTEM
  ibrav = 0, nat = 9, ntyp = 4
/
ATOMIC_SPECIES
Ce 140.12 Ce.upf
Tc 98.00 Tc.upf
H 1.01 H.upf
Pt 195.08 Pt.upf
ATOMIC_POSITIONS angstrom
Ce 0.0000 0.0000 0.0000
Tc 0.0000 2.6942 2.2163
H -1.0932 2.0630 0.9659
H -1.0932 2.0630 3.4666
H 1.0932 2.0630 0.9659
H 1.0932 2.0630 3.4666
H 0.0000 3.9564 0.9659
H 0.0000 3.9564 3.4666
Pt 2.3332 1.3471 2.2163
CELL_PARAMETERS angstrom
4.6664 0.0000 0.0000
-2.3332 4.0412 0.0000
0.0000 0.0000 4.4325
```

Output
The calculation puts the total energy at -4.924 eV/atom.


VASP calculation (PBE) on a geometry-optimized La2Ga3Ag4Hg structure. Values from VASP.

Geometry as Quantum ESPRESSO input:
```
&SYSTEM
  ibrav = 0, nat = 10, ntyp = 4
/
ATOMIC_SPECIES
La 138.91 La.upf
Ga 69.72 Ga.upf
Ag 107.87 Ag.upf
Hg 200.59 Hg.upf
ATOMIC_POSITIONS angstrom
La 0.0000 2.2567 2.6753
La 2.2567 0.0000 8.3560
Ga 0.0000 2.2567 9.6395
Ga 2.2567 0.0000 1.3917
Ga 2.2567 2.2567 5.5156
Ag 0.0000 0.0000 0.0000
Ag 0.0000 2.2567 7.1187
Ag 2.2567 0.0000 3.9126
Ag 2.2567 2.2567 0.0000
Hg 0.0000 0.0000 5.5156
CELL_PARAMETERS angstrom
4.5134 0.0000 0.0000
0.0000 4.5134 0.0000
0.0000 0.0000 11.0312
```

Output
The formation energy is -0.327 eV/atom.


VASP calculation (PBE) on a geometry-optimized BaNaV structure. Values from VASP.

Geometry as Quantum ESPRESSO input:
```
&SYSTEM
  ibrav = 0, nat = 6, ntyp = 3
/
ATOMIC_SPECIES
Ba 137.33 Ba.upf
Na 22.99 Na.upf
V 50.94 V.upf
ATOMIC_POSITIONS angstrom
Ba 0.0000 0.0000 2.0200
Ba 0.0000 0.0000 6.5251
Na 0.0000 3.2862 0.0000
Na 0.0000 3.2862 4.2725
V 2.8460 1.6431 0.9064
V 2.8460 1.6431 7.6386
CELL_PARAMETERS angstrom
5.6919 0.0000 0.0000
-2.8460 4.9293 0.0000
0.0000 0.0000 8.5450
```

Output
For the energy above the most stable polymorph in this dataset, the calculation gives 0.285 eV/atom. The formation energy is 0.770 eV/atom.


VASP calculation (PBE) on a geometry-optimized ScZn2As structure. Values from VASP.

Geometry as Quantum ESPRESSO input:
```
&SYSTEM
  ibrav = 0, nat = 8, ntyp = 3
/
ATOMIC_SPECIES
Sc 44.96 Sc.upf
Zn 65.41 Zn.upf
As 74.92 As.upf
ATOMIC_POSITIONS angstrom
Sc 0.0000 0.0000 0.0000
Sc 4.0343 2.0059 0.0000
Zn 1.4095 2.0059 1.6544
Zn 2.9608 0.0000 1.7701
Zn 5.4438 0.0000 1.6544
Zn 6.9951 2.0059 1.7701
As 1.0372 0.0000 3.4380
As 5.0715 2.0059 3.4380
CELL_PARAMETERS angstrom
8.0686 0.0000 0.0000
0.0000 4.0118 0.0000
-1.4347 0.0000 4.6604
```

Output
The formation energy is -0.362 eV/atom.


VASP calculation (PBE) on a geometry-optimized CsNa structure. Values from VASP.

Geometry as Quantum ESPRESSO input:
```
&SYSTEM
  ibrav = 0, nat = 4, ntyp = 2
/
ATOMIC_SPECIES
Cs 132.91 Cs.upf
Na 22.99 Na.upf
ATOMIC_POSITIONS angstrom
Cs -0.0031 1.6087 2.4079
Cs 2.8258 4.8261 5.6610
Na -0.0014 1.6087 7.0832
Na 2.8241 4.8261 0.9858
CELL_PARAMETERS angstrom
5.6545 0.0000 0.0000
0.0000 6.4349 0.0000
-2.8318 0.0000 8.0690
```

Output
The formation energy is 0.023 eV/atom.